[1]
This record from OQMD via LeMat-Bulk describes a geometry-optimized NiSbPtW structure. The functional is PBE.

Properties
Uncorrected energy in eV/atom: -6.751
Symmetry: No. 216

Unit cell a=4.525 b=4.525 c=4.525 alpha=60.00 beta=60.00 gamma=60.00
Atoms (fractional coordinates):
1 Ni 0.750 0.750 0.750
2 Pt 0.250 0.250 0.250
3 Sb 0.000 0.000 0.000
4 W 0.500 0.500 0.500

***

[2]
This record from OQMD via LeMat-Bulk describes a geometry-optimized Y2NiSb2Pt structure. The functional is PBE.

Properties
Uncorrected energy in eV/atom: -6.522
Symmetry: No. 6

Unit cell a=7.962 b=4.591 c=15.220 alpha=90.00 beta=99.90 gamma=90.00
Atoms (fractional coordinates):
1 Ni 0.002 0.000 0.503
2 Ni 0.500 0.500 0.503
3 Ni 0.249 0.500 0.748
4 Ni 0.001 0.500 0.998
5 Pt 0.250 0.000 0.250
6 Pt 0.750 0.500 0.251
7 Pt 0.749 0.000 0.749
8 Pt 0.499 0.000 0.998
9 Sb 0.062 0.500 0.184
10 Sb 0.562 0.000 0.188
11 Sb 0.815 0.500 0.443
12 Sb 0.313 0.000 0.444
13 Sb 0.555 0.500 0.684
14 Sb 0.067 0.000 0.685
15 Sb 0.305 0.500 0.933
16 Sb 0.819 0.000 0.937
17 Y 0.181 0.000 0.059
18 Y 0.693 0.500 0.060
19 Y 0.940 0.000 0.318
20 Y 0.439 0.500 0.319
21 Y 0.686 0.000 0.560
22 Y 0.187 0.500 0.563
23 Y 0.430 0.000 0.808
24 Y 0.943 0.500 0.812

***

[3]
This record from OQMD via LeMat-Bulk describes a geometry-optimized ZnNiSbPt structure. The functional is PBE.

Properties
Uncorrected energy in eV/atom: -4.431
Symmetry: No. 216

Unit cell a=4.480 b=4.480 c=4.480 alpha=60.00 beta=60.00 gamma=60.00
Atoms (fractional coordinates):
1 Ni 0.750 0.750 0.750
2 Pt 0.250 0.250 0.250
3 Sb 0.000 0.000 0.000
4 Zn 0.500 0.500 0.500

***

[4]
This record from OQMD via LeMat-Bulk describes a geometry-optimized ZrNiSbPt structure. The functional is PBE.

Properties
Uncorrected energy in eV/atom: -6.561
Symmetry: No. 216

Unit cell a=4.639 b=4.639 c=4.639 alpha=60.00 beta=60.00 gamma=60.00
Atoms (fractional coordinates):
1 Ni 0.750 0.750 0.750
2 Pt 0.250 0.250 0.250
3 Sb 0.000 0.000 0.000
4 Zr 0.500 0.500 0.500

***

[5]
This record from OQMD via LeMat-Bulk describes a geometry-optimized Sc2NiPt structure. The functional is PBE.

Properties
Uncorrected energy in eV/atom: -6.966
ΔE_f in eV per atom: -0.90
Symmetry: No. 139

Unit cell a=4.585 b=6.475 c=13.747 alpha=90.00 beta=90.00 gamma=90.00
Atoms (fractional coordinates):
1 Ni 0.000 0.500 0.000
2 Ni 0.500 0.000 0.167
3 Ni 0.000 0.500 0.333
4 Ni 0.500 0.000 0.500
5 Ni 0.000 0.500 0.667
6 Ni 0.500 0.000 0.833
7 Pt 0.000 0.000 0.000
8 Pt 0.500 0.500 0.167
9 Pt 0.000 0.000 0.333
10 Pt 0.500 0.500 0.500
11 Pt 0.000 0.000 0.667
12 Pt 0.500 0.500 0.833
13 Sc 0.500 0.250 0.000
14 Sc 0.500 0.750 0.000
15 Sc 0.000 0.250 0.167
16 Sc 0.000 0.750 0.167
17 Sc 0.500 0.250 0.333
18 Sc 0.500 0.750 0.333
19 Sc 0.000 0.250 0.500
20 Sc 0.000 0.750 0.500
21 Sc 0.500 0.250 0.667
22 Sc 0.500 0.750 0.667
23 Sc 0.000 0.250 0.833
24 Sc 0.000 0.750 0.833

***

[6]
This record from OQMD via LeMat-Bulk describes a geometry-optimized Sc2NiPt structure. The functional is PBE.

Properties
Uncorrected energy in eV/atom: -6.954
ΔE_f in eV per atom: -0.88
Symmetry: No. 62

Unit cell a=6.411 b=6.566 c=6.447 alpha=90.00 beta=90.00 gamma=90.00
Atoms (fractional coordinates):
1 Ni 0.002 0.250 0.000
2 Ni 0.998 0.750 0.000
3 Ni 0.498 0.250 0.500
4 Ni 0.502 0.750 0.500
5 Pt 0.499 0.250 0.000
6 Pt 0.999 0.750 0.500
7 Pt 0.001 0.250 0.500
8 Pt 0.501 0.750 0.000
9 Sc 0.249 0.501 0.249
10 Sc 0.249 0.999 0.249
11 Sc 0.749 0.001 0.251
12 Sc 0.749 0.499 0.251
13 Sc 0.251 0.501 0.749
14 Sc 0.251 0.999 0.749
15 Sc 0.751 0.001 0.751
16 Sc 0.751 0.499 0.751

***

[7]
This record from OQMD via LeMat-Bulk describes a geometry-optimized Sc2NiPt structure. The functional is PBE.

Properties
Uncorrected energy in eV/atom: -6.954
ΔE_f in eV per atom: -0.88
Symmetry: No. 123

Unit cell a=4.558 b=4.558 c=3.265 alpha=90.00 beta=90.00 gamma=90.00
Atoms (fractional coordinates):
1 Ni 0.500 0.500 0.000
2 Pt 0.000 0.000 0.000
3 Sc 0.500 0.000 0.500
4 Sc 0.000 0.500 0.500

***

[8]
This record from OQMD via LeMat-Bulk describes a geometry-optimized ScSiNiPt structure. The functional is PBE.

Properties
Uncorrected energy in eV/atom: -6.349
Symmetry: No. 216

Unit cell a=4.404 b=4.404 c=4.404 alpha=60.00 beta=60.00 gamma=60.00
Atoms (fractional coordinates):
1 Ni 0.750 0.750 0.750
2 Pt 0.500 0.500 0.500
3 Sc 0.250 0.250 0.250
4 Si 0.000 0.000 0.000